No. 1
The following is a PBE calculation of a geometry-optimized Tb2PmEr5 structure, from the Alexandria database.

Geometry as extended XYZ:
```
16
Lattice="5.622 -0.015 0.028 -2.792 8.111 -0.046 -0.057 0.054 11.397" Properties=species:S:1:pos:R:3 pbc="T T T"
Er 2.762 1.450 10.522
Er -0.027 6.464 8.522
Er 2.778 7.450 10.096
Er 2.793 7.417 6.959
Er 2.799 1.687 2.857
Er 0.011 6.700 0.857
Er -0.005 0.701 1.283
Er -0.008 6.724 4.776
Er 2.781 1.427 6.603
Er -0.021 0.734 4.420
Tb -0.044 3.481 10.458
Tb 2.798 4.684 4.766
Tb 2.817 4.670 0.921
Tb -0.026 3.466 6.613
Pm 2.778 4.455 8.547
Pm -0.006 3.696 2.832
```

Formation energy: 0.1442 eV/atom
Energy relative to the lowest polymorph listed for this composition: 126.8 meV/atom

***

No. 2
The following is a PBE calculation of a geometry-optimized Tb12PmEr7 structure, from the Alexandria database.

Geometry as extended XYZ:
```
20
Lattice="8.573 0.754 1.131 -1.660 8.444 1.131 -1.660 -2.209 8.228" Properties=species:S:1:pos:R:3 pbc="T T T"
Er 5.173 4.010 9.883
Er 0.080 2.979 0.608
Er 5.839 7.076 7.507
Er 2.627 3.495 5.245
Er -0.586 -0.086 2.984
Er 2.413 6.777 9.421
Er 2.840 0.212 1.070
Tb 1.182 0.180 6.746
Tb 5.585 2.847 2.764
Tb -0.226 2.540 4.534
Tb 3.143 0.675 4.090
Tb 5.409 1.220 6.799
Tb 2.502 3.996 2.198
Tb 5.479 4.450 5.956
Tb 2.751 2.993 8.292
Tb -0.156 5.769 3.692
Tb 2.110 6.314 6.400
Tb 4.071 6.809 3.745
Tb -0.332 4.142 7.726
Pm 0.000 0.000 0.000
```

Formation energy: 0.3002 eV/atom
Energy relative to the lowest polymorph listed for this composition: 0.0 meV/atom

***

No. 3
The following is a PBE calculation of a geometry-optimized TbPm3Er12 structure, from the Alexandria database.

Geometry as extended XYZ:
```
16
Lattice="5.000 0.000 0.000 0.000 5.000 0.000 0.000 0.000 20.006" Properties=species:S:1:pos:R:3 pbc="T T T"
Er 2.500 2.500 10.003
Er 2.500 0.000 7.492
Er 0.000 2.500 2.476
Er 2.500 0.000 2.476
Er 2.500 2.500 15.025
Er 0.000 2.500 17.530
Er 2.500 2.500 0.000
Er 2.500 2.500 4.980
Er 2.500 0.000 17.530
Er 0.000 2.500 12.513
Er 2.500 0.000 12.513
Er 0.000 2.500 7.492
Pm 0.000 0.000 10.003
Pm 0.000 0.000 15.016
Pm 0.000 0.000 4.989
Tb 0.000 0.000 0.000
```

Formation energy: 0.0224 eV/atom

***

No. 4
The following is a PBE calculation of a geometry-optimized Tb4PmEr5 structure, from the Alexandria database.

Geometry as extended XYZ:
```
10
Lattice="6.241 0.000 0.000 3.120 7.208 0.000 3.120 0.000 7.208" Properties=species:S:1:pos:R:3 pbc="T T T"
Er 9.043 2.728 6.585
Er 5.923 0.622 2.728
Er 5.923 6.585 4.480
Er 2.802 4.480 0.622
Er 4.248 0.000 0.000
Tb 9.068 5.045 4.335
Tb 5.947 4.335 2.163
Tb 5.947 2.873 5.045
Tb 2.827 2.163 2.873
Pm 1.385 0.000 0.000
```

Formation energy: 0.3023 eV/atom
Energy relative to the lowest polymorph listed for this composition: 242.3 meV/atom

***

No. 5
The following is a PBE calculation of a geometry-optimized Tb3PmEr7 structure, from the Alexandria database.

Geometry as extended XYZ:
```
11
Lattice="5.750 -0.192 -0.246 -2.584 7.893 1.062 -2.584 -0.883 7.915" Properties=species:S:1:pos:R:3 pbc="T T T"
Er -2.415 7.191 5.704
Er 0.458 5.416 6.936
Er -2.584 3.505 4.489
Er 0.125 1.402 1.795
Er -2.415 3.790 8.360
Er 2.997 3.028 0.372
Er 2.997 -0.373 3.028
Tb -2.584 6.068 2.487
Tb -2.584 0.942 6.490
Tb 2.875 -0.096 -0.123
Pm 0.291 3.409 4.366
```

Formation energy: 0.2658 eV/atom
Energy relative to the lowest polymorph listed for this composition: 112.6 meV/atom

***

No. 6
The following is a PBE calculation of a geometry-optimized Tb2Pm3Er5 structure, from the Alexandria database.

Geometry as extended XYZ:
```
20
Lattice="-0.654 -7.519 5.586 7.868 -1.157 4.976 -6.597 8.897 0.506" Properties=species:S:1:pos:R:3 pbc="T T T"
Er 1.206 0.892 2.890
Er -1.825 0.654 4.613
Er 2.443 -0.434 6.455
Er 2.449 3.815 4.283
Er -0.589 -0.672 8.178
Er 4.710 -3.330 8.026
Er -1.831 -3.595 6.785
Er 3.640 -2.259 4.138
Er -4.092 3.551 3.042
Er -3.022 2.479 6.930
Pm 1.208 5.708 6.686
Pm -0.980 4.012 4.499
Pm 1.598 -3.792 6.569
Pm -3.817 -0.955 6.947
Pm -0.590 -5.488 4.382
Pm 4.435 1.176 4.121
Tb 5.864 -0.540 6.318
Tb 0.508 2.207 6.582
Tb -5.246 0.760 4.750
Tb 0.110 -1.987 4.486
```

Formation energy: 0.1930 eV/atom
Energy relative to the lowest polymorph listed for this composition: 0.0 meV/atom

***

No. 7
The following is a PBE calculation of a geometry-optimized Tb4Pm3Er structure, from the Alexandria database.

Geometry as extended XYZ:
```
16
Lattice="6.314 0.000 0.000 0.000 7.314 0.000 0.000 0.000 11.468" Properties=species:S:1:pos:R:3 pbc="T T T"
Pm 6.193 2.728 5.734
Pm 4.091 2.740 8.602
Pm 0.934 4.574 2.869
Pm 3.037 4.586 0.000
Pm 4.091 2.740 2.865
Pm 0.934 4.574 8.599
Tb 3.040 0.900 0.000
Tb 4.088 6.409 8.577
Tb 4.088 6.409 2.891
Tb 6.186 6.408 0.000
Tb 3.029 0.906 5.734
Tb 0.931 0.905 8.625
Tb 0.931 0.905 2.843
Tb 6.197 6.414 5.734
Er 6.201 2.725 0.000
Er 3.044 4.589 5.734
```

Formation energy: 0.0205 eV/atom
Energy relative to the lowest polymorph listed for this composition: 0.0 meV/atom

***

No. 8
The following is a PBE calculation of a geometry-optimized Tb4Pm5Er3 structure, from the Alexandria database.

Geometry as extended XYZ:
```
12
Lattice="5.782 0.000 0.000 2.891 4.908 -0.549 2.891 1.488 13.924" Properties=species:S:1:pos:R:3 pbc="T T T"
Pm 8.673 4.326 9.999
Pm 2.891 2.070 3.376
Pm 8.673 4.747 13.535
Pm 5.782 3.198 6.687
Pm 2.891 1.649 -0.160
Er 2.891 3.198 6.687
Er 5.782 2.771 10.232
Er 5.782 3.625 3.143
Tb 5.782 5.839 8.333
Tb 5.782 0.191 1.750
Tb 5.782 0.557 5.041
Tb 5.782 6.205 11.624
```

Formation energy: 0.2283 eV/atom

***

No. 9
The following is a PBE calculation of a geometry-optimized TbPm2Er7 structure, from the Alexandria database.

Geometry as extended XYZ:
```
10
Lattice="-2.613 3.853 -3.983 -6.116 -5.508 -4.453 -0.414 -0.245 7.900" Properties=species:S:1:pos:R:3 pbc="T T T"
Er -1.732 0.406 4.685
Er -3.063 -1.484 -0.998
Er -4.787 -3.611 1.233
Er -4.356 1.712 -1.768
Er -6.080 -0.416 0.463
Er -4.365 -0.827 -4.218
Er -7.411 -2.306 -5.220
Pm -3.054 1.059 1.460
Pm -6.089 -2.958 -1.995
Tb 0.000 0.000 0.000
```

Formation energy: 0.0203 eV/atom
Energy relative to the lowest polymorph listed for this composition: 0.0 meV/atom

***

No. 10
The following is a PBE calculation of a geometry-optimized TbPm3Er3 structure, from the Alexandria database.

Geometry as extended XYZ:
```
14
Lattice="5.725 0.000 0.000 0.000 9.603 -0.009 0.000 -4.794 8.321" Properties=species:S:1:pos:R:3 pbc="T T T"
Pm 4.294 3.407 6.709
Pm 1.431 5.495 6.296
Pm 4.294 -0.686 2.016
Pm 1.431 1.402 1.603
Pm 4.294 -2.706 7.909
Pm 1.431 7.515 0.403
Er 1.431 -0.658 7.526
Er 1.431 -1.381 3.981
Er 4.294 6.190 4.331
Er 4.294 5.467 0.786
Er 1.431 2.051 5.126
Er 4.294 2.758 3.185
Tb 4.294 0.005 5.544
Tb 1.431 4.804 2.767
```

Formation energy: 0.0177 eV/atom
Energy relative to the lowest polymorph listed for this composition: 0.0 meV/atom

***

No. 11
The following is a PBE calculation of a geometry-optimized Tb3Pm2Er7 structure, from the Alexandria database.

Geometry as extended XYZ:
```
12
Lattice="3.590 0.000 0.000 0.000 5.658 0.000 0.000 -2.829 18.827" Properties=species:S:1:pos:R:3 pbc="T T T"
Er 0.000 2.829 10.149
Er 0.000 0.000 0.000
Er 0.000 0.000 15.456
Er 0.000 0.000 8.677
Er 1.795 2.829 16.157
Er 1.795 0.000 2.669
Er 0.000 2.829 3.370
Tb 1.795 2.829 6.994
Tb 1.795 2.829 0.000
Tb 1.795 0.000 11.833
Pm 0.000 0.000 5.530
Pm 0.000 2.829 13.297
```

Formation energy: 0.1110 eV/atom
Energy relative to the lowest polymorph listed for this composition: 37.6 meV/atom

***

No. 12
The following is a PBE calculation of a geometry-optimized Tb2Pm7Er structure, from the Alexandria database.

Geometry as extended XYZ:
```
10
Lattice="3.524 0.000 0.000 0.000 9.951 -2.693 0.000 -0.631 10.290" Properties=species:S:1:pos:R:3 pbc="T T T"
Pm 1.762 5.591 7.324
Pm 1.762 8.301 3.999
Pm 1.762 3.728 0.272
Pm 0.000 6.535 1.497
Pm 1.762 4.660 3.798
Pm 1.762 1.018 3.597
Pm 0.000 2.785 6.099
Tb 1.762 1.141 8.116
Tb 1.762 8.179 -0.519
Er 0.000 0.000 0.000
```

Formation energy: 0.3896 eV/atom
Energy relative to the lowest polymorph listed for this composition: 0.0 meV/atom

***

No. 13
The following is a PBE calculation of a geometry-optimized Tb2PmEr structure, from the Alexandria database.

Geometry as extended XYZ:
```
4
Lattice="3.589 0.000 0.000 1.795 3.109 0.000 1.795 1.036 11.555" Properties=species:S:1:pos:R:3 pbc="T T T"
Tb 1.795 1.036 2.842
Tb 1.795 1.036 8.719
Er 3.589 2.072 0.005
Pm 3.589 2.072 5.767
```

Formation energy: 0.0151 eV/atom
Energy relative to the lowest polymorph listed for this composition: 0.0 meV/atom

***

No. 14
The following is a PBE calculation of a geometry-optimized Tb3Pm4Er8 structure, from the Alexandria database.

Geometry as extended XYZ:
```
15
Lattice="-0.169 2.338 6.298 -2.079 -9.020 -0.305 8.611 -2.310 -2.509" Properties=species:S:1:pos:R:3 pbc="T T T"
Tb -1.124 -3.341 2.997
Tb 4.221 0.014 1.895
Tb 3.181 -4.496 1.742
Pm 4.305 -1.155 -1.254
Pm 0.000 0.000 0.000
Pm -1.040 -4.510 -0.152
Pm -0.085 1.169 3.149
Er 1.794 -6.589 -1.103
Er 0.562 -6.140 2.282
Er 4.738 -4.741 -1.710
Er 5.801 -2.852 1.202
Er 1.659 -1.801 2.562
Er 4.609 -5.962 4.201
Er 1.754 -3.029 -0.716
Er 4.704 -7.191 0.923
```

Formation energy: 0.3760 eV/atom
Energy relative to the lowest polymorph listed for this composition: 250.5 meV/atom

***

No. 15
The following is a PBE calculation of a geometry-optimized TbPm4Er2 structure, from the Alexandria database.

Geometry as extended XYZ:
```
14
Lattice="-3.623 3.126 -4.894 -6.970 -4.949 -2.790 -6.936 4.659 3.323" Properties=species:S:1:pos:R:3 pbc="T T T"
Er -6.511 4.567 -1.837
Er -8.764 1.418 -2.181
Er -11.018 -1.730 -2.525
Er -1.812 1.563 -2.447
Pm -9.886 -0.143 -5.025
Pm -12.389 0.254 -0.243
Pm -5.438 0.318 -0.560
Pm -12.091 2.518 -3.801
Pm -7.862 -1.891 -2.288
Pm -9.667 4.727 -2.073
Pm -5.139 2.582 -4.118
Pm -7.642 2.979 0.663
Tb -5.297 -0.911 -3.842
Tb -3.485 -2.475 -1.395
```

Formation energy: 0.2589 eV/atom
Energy relative to the lowest polymorph listed for this composition: 202.3 meV/atom

***

No. 16
The following is a PBE calculation of a geometry-optimized TbPm12Er6 structure, from the Alexandria database.

Geometry as extended XYZ:
```
19
Lattice="8.993 -0.611 -3.066 -4.097 8.029 -3.066 -0.403 -0.611 9.493" Properties=species:S:1:pos:R:3 pbc="T T T"
Er 3.661 3.339 3.756
Er 1.247 5.576 2.453
Er 0.832 3.469 -0.394
Er 3.246 1.232 0.909
Er 4.064 4.680 0.505
Er 0.430 2.129 2.857
Pm -1.646 5.759 -1.749
Pm -1.644 6.514 4.447
Pm 0.820 4.217 5.746
Pm -2.022 4.396 1.573
Pm 6.137 0.294 -1.085
Pm 6.516 2.412 1.789
Pm 4.494 6.057 -2.832
Pm -0.001 0.751 6.194
Pm 2.874 -0.131 4.196
Pm 3.673 2.591 -2.384
Pm 1.619 6.939 -0.835
Pm 6.139 1.049 5.111
Tb 0.000 0.000 0.000
```

Formation energy: 0.0157 eV/atom
Energy relative to the lowest polymorph listed for this composition: 0.0 meV/atom

***

No. 17
The following is a PBE calculation of a geometry-optimized Tb4PmEr7 structure, from the Alexandria database.

Geometry as extended XYZ:
```
12
Lattice="-5.362 -2.559 3.267 -1.751 -7.951 2.957 5.167 0.579 7.307" Properties=species:S:1:pos:R:3 pbc="T T T"
Tb 0.133 -1.688 3.494
Tb -2.618 -6.331 5.815
Tb -2.079 -8.242 10.037
Tb 0.672 -3.599 7.716
Er -2.115 -3.086 5.686
Er 0.169 -6.844 7.845
Er 0.538 -5.274 4.693
Er -2.015 -4.498 2.661
Er -2.484 -4.657 8.838
Er -2.681 -1.279 1.634
Er 0.068 -5.432 10.870
Pm 0.000 0.000 0.000
```

Formation energy: 0.0865 eV/atom
Energy relative to the lowest polymorph listed for this composition: 0.0 meV/atom

***

No. 18
The following is a PBE calculation of a geometry-optimized Tb2Pm4Er3 structure, from the Alexandria database.

Geometry as extended XYZ:
```
9
Lattice="3.443 0.000 -0.892 0.117 9.704 0.450 0.423 1.187 8.729" Properties=species:S:1:pos:R:3 pbc="T T T"
Er 3.236 6.075 5.402
Er 0.747 4.815 2.885
Er 0.000 0.000 0.000
Tb 2.497 1.601 2.547
Tb 1.486 9.289 5.740
Pm 1.475 2.924 5.696
Pm 1.763 3.210 -0.284
Pm 2.508 7.967 2.591
Pm 2.220 7.680 8.571
```

Formation energy: 0.0501 eV/atom
Energy relative to the lowest polymorph listed for this composition: 4.3 meV/atom

***

No. 19
The following is a PBE calculation of a geometry-optimized TbPmEr2 structure, from the Alexandria database.

Geometry as extended XYZ:
```
4
Lattice="3.575 0.000 0.000 1.787 3.096 0.000 1.787 1.032 11.508" Properties=species:S:1:pos:R:3 pbc="T T T"
Er 1.787 1.032 2.845
Er 1.787 1.032 8.671
Pm 3.575 2.064 5.736
Tb 3.575 2.064 0.009
```

Formation energy: 0.0172 eV/atom
Energy relative to the lowest polymorph listed for this composition: 1.6 meV/atom

***

No. 20
The following is a PBE calculation of a geometry-optimized Tb3Pm8Er2 structure, from the Alexandria database.

Geometry as extended XYZ:
```
13
Lattice="10.029 1.676 -3.702 1.248 5.357 -2.946 -2.355 -0.430 9.248" Properties=species:S:1:pos:R:3 pbc="T T T"
Pm 6.986 3.534 -0.500
Pm 6.866 4.283 3.016
Pm 4.161 4.270 -2.601
Pm 9.097 5.472 -2.688
Pm 1.935 3.069 3.099
Pm -0.175 1.131 5.287
Pm 2.056 2.319 -0.417
Pm 4.761 2.333 5.200
Tb -0.055 0.371 1.765
Tb 8.977 6.232 0.834
Tb 5.015 0.838 -1.851
Er 4.034 5.011 0.916
Er 4.888 1.592 1.683
```

Formation energy: 0.0160 eV/atom
Energy relative to the lowest polymorph listed for this composition: 0.0 meV/atom